Entry 1:
Compound: Er6Pt2Pb
Source: the Alexandria database
Functional: PBE
Structure: optimized geometry

The calculation puts the energy relative to the elements at -0.760 eV per atom. The density of states at the Fermi level is 30.59 states/eV/cell. The total magnetic moment is 0.000 μB/atom. Its raw total energy is -5.556 eV/atom.

Cell: 9.330 9.704 10.533 Å, 90.00 90.00 90.00°
Space group Immm (No. 71)
One atom of each set of equivalent atoms:
Er  0.000  0.206  0.235
Er  0.194  0.500  0.170
Er  0.206  0.317  0.500
Pt  0.000  0.341  0.000
Pt  0.000  0.500  0.365
Pb  0.000  0.000  0.000
Pb  0.000  0.000  0.500

---

Entry 2:
Compound: Er3PtPb2
Source: the Alexandria database
Functional: PBE
Structure: optimized geometry

The calculation puts the energy relative to the elements at -0.687 eV per atom. The density of states at the Fermi level is 14.68 states/eV/cell. The total magnetic moment is 0.000 μB/atom. Its raw total energy is -5.212 eV/atom.

Cell: 12.307 4.510 11.589 Å, 90.00 90.00 90.00°
Space group Pnma (No. 62)
One atom of each set of equivalent atoms:
Er  0.057  0.250  0.130
Er  0.120  0.750  0.548
Er  0.247  0.250  0.795
Pt  0.119  0.250  0.372
Pb  0.013  0.250  0.700
Pb  0.182  0.750  0.003

---

Entry 3:
Compound: Er5PtPb2
Source: the Alexandria database
Functional: PBE
Structure: optimized geometry

The calculation puts the energy relative to the elements at -0.673 eV per atom. The density of states at the Fermi level is 14.03 states/eV/cell. The total magnetic moment is 0.000 μB/atom. Its raw total energy is -5.207 eV/atom.

Cell: 7.985 12.273 4.525 Å, 90.00 90.00 90.00°
Space group Pbam (No. 55)
One atom of each set of equivalent atoms:
Er  0.000  0.000  0.000
Er  0.149  0.295  0.000
Er  0.182  0.568  0.500
Pt  0.000  0.500  0.000
Pb  0.068  0.828  0.500

---

Entry 4:
Compound: Er5Pt2Pb2
Source: the Alexandria database
Functional: PBE
Structure: optimized geometry

The calculation puts the energy relative to the elements at -0.842 eV per atom. The density of states at the Fermi level is 22.91 states/eV/cell. The total magnetic moment is 0.000 μB/atom. Its raw total energy is -5.543 eV/atom.

Cell: 15.410 8.423 7.310 Å, 90.00 90.00 90.00°
Space group Cmce (No. 64)
One atom of each set of equivalent atoms:
Er  0.000  0.000  0.000
Er  0.119  0.178  0.347
Pt  0.000  0.127  0.638
Pb  0.214  0.000  0.000

---

Entry 5:
Compound: ErPtPb
Source: the Alexandria database
Functional: PBE
Structure: optimized geometry

The calculation puts the energy relative to the elements at -0.661 eV per atom. The density of states at the Fermi level is 3.67 states/eV/cell. The total magnetic moment is 0.000 μB/atom. Its raw total energy is -5.431 eV/atom.

Cell: 3.520 3.520 11.608 Å, 90.00 90.00 90.00°
Space group I4mm (No. 107)
One atom of each set of equivalent atoms:
Er  0.000  0.000  0.000
Pt  0.000  0.000  0.376
Pb  0.000  0.000  0.713

---

Entry 6:
Compound: Er5Pt2Pb
Source: the Alexandria database
Functional: PBE
Structure: optimized geometry

The calculation puts the energy relative to the elements at -0.876 eV per atom. The density of states at the Fermi level is 33.79 states/eV/cell. The total magnetic moment is 0.000 μB/atom. Its raw total energy is -5.701 eV/atom.

Cell: 7.790 7.790 13.458 Å, 90.00 90.00 90.00°
Space group I4/mcm (No. 140)
One atom of each set of equivalent atoms:
Er  0.000  0.000  0.000
Er  0.157  0.343  0.137
Pt  0.138  0.362  0.500
Pb  0.000  0.000  0.250

---

Entry 7:
Compound: Er12Pt6Pb
Source: the Alexandria database
Functional: PBE
Structure: optimized geometry

The calculation puts the energy relative to the elements at -0.885 eV per atom. The density of states at the Fermi level is 38.80 states/eV/cell. The total magnetic moment is 0.000 μB/atom. Its raw total energy is -5.870 eV/atom.

Cell: 9.913 9.913 9.913 Å, 90.00 90.00 90.00°
Space group Im-3 (No. 204)
One atom of each set of equivalent atoms:
Er  0.000  0.300  0.181
Pt  0.000  0.139  0.500
Pb  0.000  0.000  0.000

---

Entry 8:
Compound: ErPt4Pb
Source: the Alexandria database
Functional: PBE
Structure: optimized geometry

The calculation puts the energy relative to the elements at -0.702 eV per atom. The density of states at the Fermi level is 13.83 states/eV/cell. The total magnetic moment is 0.000 μB/atom. Its raw total energy is -6.107 eV/atom.

Cell: 7.693 7.693 7.693 Å, 90.00 90.00 90.00°
Space group F-43m (No. 216)
One atom of each set of equivalent atoms:
Er  0.000  0.000  0.000
Pt  0.125  0.125  0.375
Pb  0.250  0.250  0.750

---

> Number 2 is which compound?

Er3PtPb2

---

> Which formula does entry 8 have?

ErPt4Pb

---

> Which formula does entry 7 have?

Er12Pt6Pb